A plane-wave DFT calculation with PBE was carried out for a relaxed La2Zn2Pb crystal.

Structure (POSCAR):
```
La2Zn2Pb
1.0
-1.7157 -5.8866 6.3836
-0.9631 -6.3379 -6.1033
3.5863 -0.7803 0.2444
Pb Zn La
2 4 4
Cartesian
0.0000 0.0000 0.0000
-1.3394 -6.1123 0.1402
0.9534 -5.1938 -2.8920
-0.1284 -9.6110 -1.1195
-0.0459 -7.8110 3.4167
1.0359 -3.3938 1.6443
-1.3858 -7.2956 -2.9570
-2.0750 -9.1289 1.3037
-1.2930 -4.9290 3.2374
-0.6038 -3.0956 -1.0234
```

Computed properties:
The formation energy is -0.78 eV per formula unit.

---

A plane-wave DFT calculation with PBE was carried out for a relaxed La4Zn2Pb crystal.

Structure (POSCAR):
```
La4Zn2Pb
1.0
-0.6522 -2.2644 4.7991
2.5633 -4.5399 1.1843
7.3011 2.2921 5.0519
La Zn Pb
4 2 1
Cartesian
4.5907 -4.9707 7.2128
4.6215 0.4584 3.8225
2.3181 -3.8218 4.4679
6.8941 -0.6905 6.5674
6.9648 -3.3462 8.3020
2.2474 -1.1661 2.7333
0.0000 0.0000 0.0000
```

Computed properties:
The formation energy is -1.82 eV per formula unit.

---

A plane-wave DFT calculation with PBE was carried out for a relaxed La8Zn2Pb crystal.

Structure (POSCAR):
```
La8Zn2Pb
1.0
-1.2915 -4.0672 -2.7474
5.0542 2.5519 -6.1536
4.5003 -3.4163 7.6299
La Zn Pb
8 2 1
Cartesian
5.8492 -3.0801 1.8102
5.6033 -1.5265 -5.0619
5.5130 -3.6925 -1.8129
4.1496 -6.4289 2.8789
2.7500 -1.2391 0.5417
2.6597 -3.4051 3.7907
2.4139 -1.8516 -3.0814
4.1135 1.4972 -4.1501
3.4439 -4.5422 0.4175
4.8192 -0.3895 -1.6887
-0.6457 -2.0336 -1.3737
```

Computed properties:
The formation energy is -2.39 eV per formula unit.

---

A plane-wave DFT calculation with PBE was carried out for a relaxed LaZn2Pb crystal.

Structure (POSCAR):
```
LaZn2Pb
1.0
4.7197 0.0000 0.0000
0.0000 4.7197 0.0000
2.3598 2.3598 10.0714
Pb Zn La
2 4 2
Cartesian
0.0000 0.0000 0.0000
4.7197 2.3598 5.0357
4.1360 1.1799 2.5179
5.3034 3.5398 2.5179
3.5398 2.9435 7.5536
5.8996 1.7761 7.5536
2.3598 2.3598 0.0000
2.3598 4.7197 5.0357
```

Computed properties:
The formation energy is -0.33 eV per formula unit.

---

A plane-wave DFT calculation with PBE was carried out for a relaxed La2Zn3Pb crystal.

Structure (POSCAR):
```
La2Zn3Pb
1.0
-2.6345 -1.3078 5.4014
-0.8798 -5.3336 -2.9334
8.8985 0.5906 1.5882
La Zn Pb
4 6 2
Cartesian
3.1307 -4.0319 -0.0556
-2.6622 -5.0311 1.8696
2.2534 -2.0190 4.1118
-0.8521 -1.6104 0.5984
5.5612 -1.2586 4.5321
-1.0846 -2.7104 3.8342
-0.1771 -4.7923 -0.4760
6.4687 -3.3405 0.2219
3.1029 -5.1787 3.1547
2.2812 -0.8721 0.9015
4.7777 -1.8265 1.8881
0.6064 -4.2243 2.1681
```

Computed properties:
The formation energy is -2.46 eV per formula unit.

---

A plane-wave DFT calculation with PBE was carried out for a relaxed La5Zn4Pb crystal.

Structure (POSCAR):
```
La5Zn4Pb
1.0
3.7677 0.0000 0.0000
0.0000 3.7677 0.0000
0.0000 0.0000 19.5223
La Zn Pb
5 4 1
Cartesian
1.8838 1.8838 2.2402
1.8838 1.8838 6.0047
1.8838 1.8838 9.7612
1.8838 1.8838 13.5176
1.8838 1.8838 17.2821
0.0000 0.0000 4.1912
0.0000 0.0000 7.8579
0.0000 0.0000 11.6644
0.0000 0.0000 15.3311
0.0000 0.0000 0.0000
```

Computed properties:
The formation energy is -3.63 eV per formula unit.

---

A plane-wave DFT calculation with PBE was carried out for a relaxed La2ZnPb2 crystal.

Structure (POSCAR):
```
La2ZnPb2
1.0
9.1563 0.0000 0.0000
0.0000 9.1563 0.0000
0.0000 0.0000 3.9687
Pb Zn La
4 2 4
Cartesian
1.4923 6.0704 1.9843
6.0704 7.6640 1.9843
7.6640 3.0859 1.9843
3.0859 1.4923 1.9843
0.0000 0.0000 0.0000
4.5782 4.5782 0.0000
3.2668 7.8450 0.0000
7.8450 5.8895 0.0000
5.8895 1.3113 0.0000
1.3113 3.2668 0.0000
```

Computed properties:
The formation energy is -1.10 eV per formula unit.

---

A plane-wave DFT calculation with PBE was carried out for a relaxed LaZnPb crystal.

Structure (POSCAR):
```
LaZnPb
1.0
4.5531 0.2283 -0.2622
-0.2446 4.5523 -0.2622
-1.7372 -1.9275 8.3071
Pb La Zn
2 2 2
Cartesian
0.2191 -0.8175 6.7728
0.0328 1.0970 2.6192
2.5692 1.6749 7.8528
2.2683 3.6926 3.6993
2.2070 1.7300 1.1100
0.6235 1.4106 5.2635
```

Computed properties:
The formation energy is -1.30 eV per formula unit.

---

A plane-wave DFT calculation with PBE was carried out for a relaxed La2Zn2Pb crystal.

Structure (POSCAR):
```
La2Zn2Pb
1.0
3.7481 0.0000 0.0000
0.0000 3.7481 0.0000
1.8741 1.8741 9.8958
Pb Zn La
1 2 2
Cartesian
0.0000 0.0000 0.0000
3.7481 1.8741 4.9479
1.8741 3.7481 4.9479
1.8741 1.8741 2.2166
3.7481 3.7481 7.6792
```

Computed properties:
The formation energy is -1.21 eV per formula unit.

---

A plane-wave DFT calculation with PBE was carried out for a relaxed La5Zn2Pb crystal.

Structure (POSCAR):
```
La5Zn2Pb
1.0
7.8217 0.0000 -3.6923
-1.7429 7.6250 -3.6923
-0.5319 -0.6672 9.0041
La Zn Pb
10 4 2
Cartesian
2.3855 4.8684 1.9252
4.3718 7.3600 -3.9979
0.0000 0.0000 0.0000
3.0394 3.8125 -3.6923
1.1750 -0.4022 5.6174
4.7526 1.0559 3.0653
-1.1921 3.4104 4.4773
0.7942 5.9019 -1.4458
6.7389 3.5474 -2.8578
3.1613 2.0894 -0.3056
0.4752 2.7389 -1.8461
4.7667 1.0736 -2.8859
1.3120 6.5515 -4.4987
5.6036 4.8861 -5.5384
4.2931 5.3852 -1.0364
1.2537 1.5726 2.6559
```

Computed properties:
The formation energy is -2.63 eV per formula unit.